Record 1
Below is a geometry-optimized RbHPb structure, with properties calculated at the PBE-GGA level.

Lattice parameters (Å, degrees): 13.2258 5.7935 5.1846 90.00 101.23 90.00
With the nearest neighbours (Å) after each atom.
Atoms (fractional coordinates):
Rb (0.1528, 0.0000, 0.3323)  3 H 3.08-3.12
Rb (0.3472, 0.5000, 0.6677)  3 H 3.08-3.12
Rb (0.6528, 0.5000, 0.3323)  3 H 3.08-3.12
Rb (0.8472, 0.0000, 0.6677)  3 H 3.08-3.12
H (0.1898, 0.5000, 0.1451)  1 Pb 1.98
H (0.3102, 0.0000, 0.8549)  1 Pb 1.98
H (0.6898, 0.0000, 0.1451)  1 Pb 1.98
H (0.8102, 0.5000, 0.8549)  1 Pb 1.98
Pb (0.0768, 0.5000, 0.8315)  1 H 1.98
Pb (0.4232, 0.0000, 0.1685)  1 H 1.98
Pb (0.5768, 0.0000, 0.8315)  1 H 1.98
Pb (0.9232, 0.5000, 0.1685)  1 H 1.98

Results
Its space-group type is No. 12.

Record 2
Below is a geometry-optimized Mo2AuI2 structure, with properties calculated at the PBE-GGA level.

Lattice parameters (Å, degrees): 3.7157 3.7157 17.1128 90.00 90.00 90.00
With the nearest neighbours (Å) after each atom.
Atoms (fractional coordinates):
Mo (0.0000, 0.5000, 0.2500)  4 Mo 2.63, 4 I 2.92
Mo (0.0000, 0.5000, 0.7500)  4 Mo 2.63, 4 I 2.92
Mo (0.5000, 0.0000, 0.2500)  4 Mo 2.63, 4 I 2.92
Mo (0.5000, 0.0000, 0.7500)  4 Mo 2.63, 4 I 2.92
Au (0.0000, 0.0000, 0.0000)  8 I 3.31
Au (0.5000, 0.5000, 0.5000)  8 I 3.31
I (0.0000, 0.0000, 0.3819)  4 Mo 2.92
I (0.0000, 0.0000, 0.6181)  4 Mo 2.92
I (0.5000, 0.5000, 0.1181)  4 Mo 2.92
I (0.5000, 0.5000, 0.8819)  4 Mo 2.92

Results
Its space-group type is No. 139. For the formation energy from raw total energies, the calculation gives 0.745 eV/atom.

Record 3
Below is a geometry-optimized Dy2Ho3Sc3 structure, with properties calculated at the PBE-GGA level.

Lattice parameters (Å, degrees): 22.9273 3.4617 5.9452 90.00 104.73 90.00
With the nearest neighbours (Å) after each atom.
Atoms (fractional coordinates):
Dy (0.2472, 0.0000, 0.2435)  3 Sc 3.39-3.47, 6 Dy 3.40-3.48, 3 Ho 3.42-3.51
Dy (0.2528, 0.5000, 0.7565)  3 Sc 3.39-3.47, 6 Dy 3.40-3.48, 3 Ho 3.42-3.51
Dy (0.7472, 0.5000, 0.2435)  3 Sc 3.39-3.47, 6 Dy 3.40-3.48, 3 Ho 3.42-3.51
Dy (0.7528, 0.0000, 0.7565)  3 Sc 3.39-3.47, 6 Dy 3.40-3.48, 3 Ho 3.42-3.51
Ho (0.0000, 0.0000, 0.0000)  8 Sc 3.38-3.44, 4 Ho 3.40-3.46
Ho (0.1228, 0.0000, 0.4629)  6 Sc 3.36-3.47, 3 Ho 3.40-3.46, 3 Dy 3.42-3.51
Ho (0.3772, 0.5000, 0.5371)  6 Sc 3.36-3.47, 3 Ho 3.40-3.46, 3 Dy 3.42-3.51
Ho (0.5000, 0.5000, 0.0000)  8 Sc 3.38-3.44, 4 Ho 3.40-3.46
Ho (0.6228, 0.5000, 0.4629)  6 Sc 3.36-3.47, 3 Ho 3.40-3.46, 3 Dy 3.42-3.51
Ho (0.8772, 0.0000, 0.5371)  6 Sc 3.36-3.47, 3 Ho 3.40-3.46, 3 Dy 3.42-3.51
Sc (0.0000, 0.5000, 0.5000)  8 Ho 3.36-3.44, 4 Sc 3.39-3.46
Sc (0.1232, 0.5000, 0.9575)  6 Ho 3.38-3.47, 3 Sc 3.39-3.46, 3 Dy 3.39-3.47
Sc (0.3768, 0.0000, 0.0425)  6 Ho 3.38-3.47, 3 Sc 3.39-3.46, 3 Dy 3.39-3.47
Sc (0.5000, 0.0000, 0.5000)  8 Ho 3.36-3.44, 4 Sc 3.39-3.46
Sc (0.6232, 0.0000, 0.9575)  6 Ho 3.38-3.47, 3 Sc 3.39-3.46, 3 Dy 3.39-3.47
Sc (0.8768, 0.5000, 0.0425)  6 Ho 3.38-3.47, 3 Sc 3.39-3.46, 3 Dy 3.39-3.47

Results
Its space-group type is No. 12. The formation energy is 0.03 eV per atom.

Record 4
Below is a geometry-optimized Tb3Pm2Tl4 structure, with properties calculated at the PBE-GGA level.

Lattice parameters (Å, degrees): 8.9887 8.9887 9.2421 90.00 90.00 132.54
With the nearest neighbours (Å) after each atom.
Atoms (fractional coordinates):
Tb (0.0000, 0.0000, 0.0000)  6 Tl 2.97-3.10
Tb (0.0355, 0.4645, 0.2500)  5 Tl 3.08-3.27
Tb (0.4645, 0.0355, 0.7500)  5 Tl 3.08-3.27
Tb (0.5000, 0.5000, 0.5000)  6 Tl 2.97-3.10
Tb (0.5355, 0.9645, 0.2500)  5 Tl 3.08-3.27
Tb (0.9645, 0.5355, 0.7500)  5 Tl 3.08-3.27
Pm (0.1095, 0.8905, 0.4251)  3 Tl 3.31-3.51
Pm (0.3905, 0.6095, 0.9251)  3 Tl 3.31-3.51
Pm (0.6095, 0.3905, 0.0749)  3 Tl 3.31-3.51
Pm (0.8905, 0.1095, 0.5749)  3 Tl 3.31-3.51
Tl (0.1872, 0.8128, 0.0401)  5 Tb 3.10-3.27
Tl (0.2226, 0.2774, 0.2500)  3 Tb 2.97-3.08, 2 Pm 3.31
Tl (0.2774, 0.2226, 0.7500)  3 Tb 2.97-3.08, 2 Pm 3.31
Tl (0.3128, 0.6872, 0.5401)  5 Tb 3.10-3.27
Tl (0.6872, 0.3128, 0.4599)  5 Tb 3.10-3.27
Tl (0.7226, 0.7774, 0.2500)  3 Tb 2.97-3.08, 2 Pm 3.31
Tl (0.7774, 0.7226, 0.7500)  3 Tb 2.97-3.08, 2 Pm 3.31
Tl (0.8128, 0.1872, 0.9599)  5 Tb 3.10-3.27

Results
Its space-group type is No. 64. The formation energy is -0.24 eV per atom.

no.,offset from the most stable computed form (eV per atom)
1,0.1181
2,0.0000
3,0.0000
4,0.0698